This record from the Alexandria database describes an optimized crystal structure of FeSnSb3. The functional is GGA-PBE.

Results
**Uncorrected energy**: -22.99 eV/cell
**ΔE to the lowest computed polymorph**: 260 meV per atom
**SG**: Pm-3m (221)
**ΔE_f (raw)**: 368 meV/atom

a = 4.971 Å, b = 4.971 Å, c = 4.971 Å
α = 90.00°, β = 90.00°, γ = 90.00°
Atoms (fractional coordinates):
Sn (0.500, 0.500, 0.500)
Sb (0.000, 0.500, 0.000)
Sb (0.500, 0.000, 0.000)
Sb (0.000, 0.000, 0.500)
Fe (0.000, 0.000, 0.000)